[1]
Material: Pr2NdSm6
Method: DFT, GGA-PBE
State: optimized geometry

extended XYZ file:
```
9
Lattice="8.695 -5.000 0.000 8.695 5.000 0.000 -0.005 0.000 3.553" Properties=species:S:1:pos:R:3 pbc="T T T"
Pr 2.894 0.000 3.553
Pr 14.490 0.000 0.000
Nd 8.695 0.000 0.000
Sm 5.798 1.668 1.776
Sm 8.692 3.326 1.776
Sm 5.798 -1.668 1.776
Sm 11.586 1.668 1.777
Sm 8.692 -3.326 1.776
Sm 11.586 -1.668 1.777
```

Properties
E = -0.34419 Ry per atom
N(E_F) = 12.81 states/eV/cell
energy above the lowest structure with this stoichiometry = 0.00 eV/f.u.



[2]
Material: Pr5NdSm8
Method: DFT, GGA-PBE
State: optimized geometry

extended XYZ file:
```
14
Lattice="-4.875 4.875 5.207 4.875 -4.875 5.207 4.875 4.875 -5.207" Properties=species:S:1:pos:R:3 pbc="T T T"
Pr 0.000 0.000 0.000
Pr 2.063 -1.052 4.431
Pr 3.822 2.812 0.776
Pr 2.812 5.927 -0.776
Pr 1.052 2.063 5.984
Nd 0.000 4.875 2.604
Sm 3.157 -0.702 1.068
Sm 4.082 3.109 -2.659
Sm 6.592 0.702 1.068
Sm 5.577 -1.718 4.140
Sm 0.793 1.766 2.549
Sm 4.172 1.718 4.140
Sm 1.766 -0.793 7.866
Sm 3.109 5.667 2.659
```

Properties
E = -0.33228 Ry per atom
N(E_F) = 20.40 states/eV/cell



[3]
Material: Pr4Nd2Sm5
Method: DFT, GGA-PBE
State: optimized geometry

extended XYZ file:
```
11
Lattice="12.261 -1.761 0.000 12.261 1.761 0.000 -1.046 0.000 8.941" Properties=species:S:1:pos:R:3 pbc="T T T"
Pr 0.756 0.000 3.218
Pr 7.320 0.000 4.736
Pr 16.155 0.000 4.205
Pr 22.718 0.000 5.723
Nd 1.434 0.000 6.579
Nd 22.041 0.000 2.362
Sm 3.351 0.000 1.020
Sm 4.812 0.000 7.396
Sm 12.261 0.000 0.000
Sm 18.663 0.000 1.545
Sm 20.123 0.000 7.921
```

Properties
E = -0.33949 Ry per atom
N(E_F) = 18.67 states/eV/cell
energy above the lowest structure with this stoichiometry = 0.00 eV/f.u.



[4]
Material: Pr2Nd8Sm3
Method: DFT, GGA-PBE
State: optimized geometry

extended XYZ file:
```
13
Lattice="7.567 -4.631 0.000 7.567 4.631 0.000 -1.102 0.000 6.853" Properties=species:S:1:pos:R:3 pbc="T T T"
Pr 2.710 0.000 1.970
Pr 11.321 0.000 4.882
Nd 5.211 1.669 3.888
Nd 2.228 0.000 5.501
Nd 6.138 0.000 0.834
Nd 8.821 1.669 2.964
Nd 5.211 -1.669 3.888
Nd 7.893 0.000 6.018
Nd 11.804 0.000 1.352
Nd 8.821 -1.669 2.964
Sm -0.551 0.000 3.426
Sm 7.567 3.072 0.000
Sm 7.567 -3.072 0.000
```

Properties
E = -0.33245 Ry per atom
N(E_F) = 20.10 states/eV/cell
energy above the lowest structure with this stoichiometry = 1.07 eV/f.u.



[5]
Material: Pr6NdSm5
Method: DFT, GGA-PBE
State: optimized geometry

extended XYZ file:
```
12
Lattice="2.602 -7.824 0.000 2.602 7.824 0.000 -0.013 0.000 10.362" Properties=species:S:1:pos:R:3 pbc="T T T"
Pr 5.201 0.000 2.581
Pr -0.009 0.000 7.781
Pr 2.599 2.610 2.587
Pr 2.593 2.610 7.775
Pr 2.599 -2.610 2.587
Pr 2.593 -2.610 7.775
Nd 2.596 0.000 5.181
Sm 2.602 5.215 0.000
Sm 2.596 5.210 5.181
Sm 2.602 0.000 0.000
Sm 2.602 -5.215 0.000
Sm 2.596 -5.210 5.181
```

Properties
E = -0.34842 Ry per atom
N(E_F) = 18.29 states/eV/cell



[6]
Material: Pr5Nd4Sm3
Method: DFT, GGA-PBE
State: optimized geometry

extended XYZ file:
```
12
Lattice="8.272 -3.054 0.000 8.272 3.054 0.000 -4.183 0.000 8.545" Properties=species:S:1:pos:R:3 pbc="T T T"
Pr 0.000 0.000 0.000
Pr 2.859 0.000 5.227
Pr 5.783 0.000 2.562
Pr 6.578 0.000 5.984
Pr 9.502 0.000 3.319
Nd -0.480 0.000 3.772
Nd -0.114 0.000 7.505
Nd 12.475 0.000 1.041
Nd 12.841 0.000 4.773
Sm 2.498 0.000 1.931
Sm 8.272 0.000 0.000
Sm 9.863 0.000 6.615
```

Properties
E = -0.33561 Ry per atom
N(E_F) = 20.05 states/eV/cell
energy above the lowest structure with this stoichiometry = 2.19 eV/f.u.



[7]
Material: PrNdSm2
Method: DFT, GGA-PBE
State: optimized geometry

extended XYZ file:
```
16
Lattice="8.227 0.000 0.000 0.000 8.227 0.000 0.000 0.000 8.227" Properties=species:S:1:pos:R:3 pbc="T T T"
Pr 0.000 0.000 0.000
Pr 0.000 4.113 4.113
Pr 4.113 0.000 4.113
Pr 4.113 4.113 0.000
Nd 0.000 0.000 4.113
Nd 0.000 4.113 0.000
Nd 4.113 0.000 0.000
Nd 4.113 4.113 4.113
Sm 2.057 2.057 2.057
Sm 2.057 2.057 6.170
Sm 2.057 6.170 2.057
Sm 2.057 6.170 6.170
Sm 6.170 2.057 2.057
Sm 6.170 2.057 6.170
Sm 6.170 6.170 2.057
Sm 6.170 6.170 6.170
```

Properties
E = -0.33927 Ry per atom
N(E_F) = 39.03 states/eV/cell
energy above the lowest structure with this stoichiometry = 0.53 eV/f.u.



[8]
Material: Pr2Nd3Sm6
Method: DFT, GGA-PBE
State: optimized geometry

extended XYZ file:
```
11
Lattice="-2.427 2.427 16.956 2.427 -2.427 16.956 2.427 2.427 -16.956" Properties=species:S:1:pos:R:3 pbc="T T T"
Pr 0.000 0.000 1.556
Pr 0.000 0.000 32.357
Nd 0.000 0.000 10.099
Nd 0.000 0.000 16.956
Nd 0.000 0.000 23.814
Sm 2.427 0.000 4.101
Sm 0.000 0.000 6.647
Sm 2.427 0.000 12.856
Sm 0.000 2.427 4.101
Sm 0.000 0.000 27.266
Sm 0.000 2.427 12.856
```

Properties
E = -0.33019 Ry per atom
N(E_F) = 15.46 states/eV/cell
energy above the lowest structure with this stoichiometry = 2.62 eV/f.u.



[9]
Material: PrNd6Sm2
Method: DFT, GGA-PBE
State: optimized geometry

extended XYZ file:
```
9
Lattice="5.020 -8.743 0.000 5.020 8.743 0.000 0.000 0.000 3.569" Properties=species:S:1:pos:R:3 pbc="T T T"
Pr 0.000 0.000 0.000
Nd 1.686 2.925 1.784
Nd 3.348 0.000 1.784
Nd 1.686 -2.925 1.784
Nd 8.353 2.925 1.784
Nd 6.692 0.000 1.784
Nd 8.353 -2.925 1.784
Sm 5.020 2.913 0.000
Sm 5.020 -2.913 0.000
```

Properties
E = -0.34592 Ry per atom
N(E_F) = 13.10 states/eV/cell
energy above the lowest structure with this stoichiometry = 0.00 eV/f.u.



[10]
Material: Pr5Nd2Sm12
Method: DFT, GGA-PBE
State: optimized geometry

extended XYZ file:
```
19
Lattice="9.372 -3.608 0.000 9.372 3.608 0.000 -3.850 0.000 9.855" Properties=species:S:1:pos:R:3 pbc="T T T"
Pr 0.000 0.000 0.000
Pr 0.892 0.000 6.729
Pr 4.936 0.000 2.843
Pr 9.959 0.000 7.012
Pr 14.002 0.000 3.127
Nd 7.447 1.591 4.928
Nd 7.447 -1.591 4.928
Sm -2.365 0.000 7.339
Sm 2.502 1.784 9.649
Sm 3.964 1.824 6.243
Sm 10.931 1.824 3.612
Sm 12.392 1.784 0.206
Sm 6.164 0.000 8.152
Sm 8.730 0.000 1.703
Sm 2.502 -1.784 9.649
Sm 3.964 -1.824 6.243
Sm 10.931 -1.824 3.612
Sm 12.392 -1.784 0.206
Sm 17.260 0.000 2.516
```

Properties
E = -0.33640 Ry per atom
N(E_F) = 30.46 states/eV/cell



[11]
Material: Pr7NdSm3
Method: DFT, GGA-PBE
State: optimized geometry

extended XYZ file:
```
11
Lattice="11.232 0.000 0.000 -5.616 9.727 0.000 0.000 0.000 3.670" Properties=species:S:1:pos:R:3 pbc="T T T"
Pr 0.000 0.000 0.001
Pr 2.713 1.567 1.837
Pr 5.616 0.462 0.000
Pr 3.208 4.632 0.000
Pr 8.518 1.567 1.837
Pr 5.616 6.594 1.837
Pr 8.024 4.632 0.000
Nd 0.000 6.485 3.666
Sm 0.000 3.580 1.832
Sm -2.515 7.937 1.832
Sm 2.515 7.937 1.832
```

Properties
E = -0.33992 Ry per atom
N(E_F) = 16.22 states/eV/cell
energy above the lowest structure with this stoichiometry = 0.00 eV/f.u.



[12]
Material: Pr4NdSm5
Method: DFT, GGA-PBE
State: optimized geometry

extended XYZ file:
```
20
Lattice="10.847 0.000 0.000 0.000 10.847 0.000 0.000 0.000 5.937" Properties=species:S:1:pos:R:3 pbc="T T T"
Pr 0.486 8.135 0.796
Pr 2.712 5.910 5.141
Pr 2.712 10.361 5.141
Pr 4.938 8.135 0.796
Pr 5.910 2.712 5.141
Pr 8.135 0.486 0.796
Pr 8.135 4.938 0.796
Pr 10.361 2.712 5.141
Nd 2.712 2.712 5.183
Nd 8.135 8.135 0.754
Sm 0.942 0.942 1.971
Sm 0.942 4.482 1.971
Sm 2.712 8.135 2.969
Sm 4.482 0.942 1.971
Sm 4.482 4.482 1.971
Sm 6.365 6.365 3.966
Sm 6.365 9.905 3.966
Sm 8.135 2.712 2.969
Sm 9.905 6.365 3.966
Sm 9.905 9.905 3.966
```

Properties
E = -0.33623 Ry per atom
N(E_F) = 25.96 states/eV/cell